# 1
# Na6CdIn23

A relaxed structure of Na6CdIn23 (GGA-PBE, Alexandria via LeMat-Bulk).

POSCAR file:
```
Na6CdIn23
1.0
0.0000 7.5133 7.5133
7.5133 0.0000 7.5133
7.5133 7.5133 0.0000
Na Cd In
6 1 23
direct
0.2207 0.2207 0.7793
0.2207 0.7793 0.2207
0.2207 0.7793 0.7793
0.7793 0.2207 0.2207
0.7793 0.2207 0.7793
0.7793 0.7793 0.2207
0.0000 0.0000 0.0000
0.0000 0.0000 0.5000
0.0000 0.5000 0.0000
0.0000 0.5000 0.5000
0.1367 0.6211 0.6211
0.1617 0.1617 0.1617
0.1617 0.1617 0.5149
0.1617 0.5149 0.1617
0.3789 0.3789 0.3789
0.3789 0.3789 0.8633
0.3789 0.8633 0.3789
0.4851 0.8383 0.8383
0.5000 0.0000 0.0000
0.5000 0.0000 0.5000
0.5000 0.5000 0.0000
0.5000 0.5000 0.5000
0.5149 0.1617 0.1617
0.6211 0.1367 0.6211
0.6211 0.6211 0.1367
0.6211 0.6211 0.6211
0.8383 0.4851 0.8383
0.8383 0.8383 0.4851
0.8383 0.8383 0.8383
0.8633 0.3789 0.3789
```

Computed properties:
- Space group: No. 225
- E: -72.65 eV for the cell shown
- Volume: 848.2 Å³/f.u.
- Energy of formation from the pure elements: -0.65 kcal/mol of atoms


# 2
# NaCd4In5

A relaxed structure of NaCd4In5 (GGA-PBE, Alexandria via LeMat-Bulk).

POSCAR file:
```
NaCd4In5
1.0
3.3604 0.0000 0.0000
0.0000 4.4634 0.0000
0.0000 0.0000 16.8099
Na Cd In
1 4 5
direct
0.0000 0.0000 0.0000
0.0000 0.0000 0.2016
0.0000 0.0000 0.3997
0.0000 0.0000 0.6003
0.0000 0.0000 0.7984
0.5000 0.5000 0.1090
0.5000 0.5000 0.3031
0.5000 0.5000 0.5000
0.5000 0.5000 0.6969
0.5000 0.5000 0.8910
```

Computed properties:
- Space group: No. 47
- E: -18.71 eV for the cell shown
- Volume: 252.1 Å³/f.u.
- Energy of formation from the pure elements: -0.09 kcal/mol of atoms